# ScTeCl2 | Alexandria via LeMat-Bulk | GGA-PBE | relaxed
# Offset from the most stable computed form   0.712 eV/atom
# D(E_F)   4.92 states/eV per cell
# VASP energy   -4.0888 eV per atom
# Total magnetization   0.2 μB/f.u.
# Formation energy (no corrections)   -0.7972 eV/atom
data_ScTeCl2
_chemical_formula_sum 'Sc2 Te2 Cl4'
_cell_length_a 6.2737
_cell_length_b 9.6531
_cell_length_c 4.4543
_cell_angle_alpha 90.00
_cell_angle_beta 134.30
_cell_angle_gamma 90.00
_space_group_name_H-M_alt 'C 1 2/m 1'
_space_group_IT_number 12
_space_group_name_Hall '-C 2y'
loop_
_atom_site_label
_atom_site_type_symbol
_atom_site_fract_x
_atom_site_fract_y
_atom_site_fract_z
Sc1 Sc 0.0000 0.0000 0.0000
Te1 Te 0.0000 0.5000 0.0000
Cl1 Cl 0.2500 0.2500 0.5000